Computed, not measured: a relaxed K2NaFe crystal at the PBE-GGA level of DFT.

abc: 8.6259 8.6259 8.6259
angles: 90.00 90.00 90.00
Last column: nearest neighbours and their distance in Å.
Space group Fm-3m (No. 225)
Unique sites:
K 0.2500 0.2500 0.2500 (multiplicity 8)  4 Fe 3.74, 4 Na 3.74
Na 0.0000 0.0000 0.0000 (multiplicity 4)  8 K 3.74
Fe 0.0000 0.0000 0.5000 (multiplicity 4)  8 K 3.74

Energy relative to the elements   3.111 eV/f.u.
E   -2.216 eV per atom